No. 1
This record from Alexandria describes a geometry-optimized Sr2Ca4H structure. The functional is GGA-PBE.

Results
M_tot ... 0.00 μB per formula unit
Space group ... I4/mmm, No. 139
VASP energy ... -2.10 eV per atom

POSCAR file:
```
Sr2Ca4H
1.0
5.231 0.000 0.000
0.000 5.231 0.000
0.000 0.000 20.241
Sr Ca H
4 8 2
Cartesian
0.000 0.000 3.592
0.000 0.000 16.649
2.616 2.616 6.528
2.616 2.616 13.712
0.000 0.000 7.577
0.000 0.000 12.664
0.000 2.616 0.000
0.000 2.616 10.120
2.616 0.000 0.000
2.616 0.000 10.120
2.616 2.616 2.544
2.616 2.616 17.697
0.000 0.000 10.120
2.616 2.616 0.000
```

***

No. 2
This record from Alexandria describes a geometry-optimized HfBiRh structure. The functional is GGA-PBE.

Results
M_tot ... 0.00 μB per formula unit
DFT formation energy ... -0.51 eV/atom
Space group ... I4/mmm, No. 139

POSCAR file:
```
HfBiRh
1.0
3.519 0.000 0.000
0.000 3.519 0.000
0.000 0.000 23.349
Hf Bi Rh
4 4 4
Cartesian
0.000 0.000 3.960
0.000 0.000 19.389
1.760 1.760 7.715
1.760 1.760 15.634
0.000 0.000 9.814
0.000 0.000 13.535
1.760 1.760 1.861
1.760 1.760 21.488
0.000 0.000 6.686
0.000 0.000 16.663
1.760 1.760 4.989
1.760 1.760 18.360
```

***

No. 3
This record from Alexandria describes a geometry-optimized LiSi2BMo structure. The functional is GGA-PBE.

Results
Energy above the lowest structure with this stoichiometry ... 108 kJ/mol of formula units
M_tot ... 0.51 μB per formula unit
Formation energy (no corrections) ... 1539.6 meV per atom
Space group ... P4/mmm, No. 123

POSCAR file:
```
LiSi2BMo
1.0
4.680 0.000 0.000
0.000 4.680 0.000
0.000 0.000 4.964
Li Si B Mo
1 2 1 1
Cartesian
0.000 0.000 0.000
0.000 2.340 2.482
2.340 0.000 2.482
2.340 2.340 0.000
0.000 0.000 2.482
```

***

No. 4
This record from Alexandria describes a geometry-optimized CeMg5Cd6 structure. The functional is GGA-PBE.

Results
M_tot ... 1.01 μB per formula unit
DFT formation energy ... -0.12 eV/atom
Space group ... P2/m, No. 10

POSCAR file:
```
CeMg5Cd6
1.0
4.833 0.000 0.000
0.000 7.819 0.000
-2.351 0.000 7.260
Ce Mg Cd
1 5 6
Cartesian
0.000 0.000 0.000
0.000 3.909 0.000
0.052 0.000 4.784
0.056 3.909 4.836
2.426 3.909 2.424
2.430 0.000 2.476
0.010 2.034 2.487
0.010 5.785 2.487
2.417 2.109 0.000
2.417 5.710 0.000
2.472 2.034 4.773
2.472 5.785 4.773
```